First-principles (PBE) data for NpBr4 after structural relaxation, as listed in OQMD.

The structure belongs to space group C2/m (No. 12); the cell edges are 11.258, 8.832 and 7.436 Å and the angles 90.00°, 94.45° and 90.00°. The distinct sites, in fractional coordinates, are Np at (0.195, 0.000, 0.447), Br at (0.050, 0.000, 0.739), Br at (0.141, 0.309, 0.341) and Br at (0.177, 0.500, 0.839).

As for the total energy: -5.13 eV/atom.